Entry 1:
# Pm2PaCl

A relaxed Pm2PaCl crystal (PBE, the Alexandria database).

Output
Formation energy without anion corrections ... -542 meV/atom
Magnetization ... 0.0 Bohr magnetons per cell
Crystal system ... trigonal

Unit cell a=3.5817 b=3.5817 c=10.2168 alpha=79.90 beta=79.90 gamma=60.00
Sites, in units of the cell vectors:
Pm: 0.7575 0.7575 0.7276
Pm: 0.2425 0.2425 0.2724
Cl: 0.5000 0.5000 0.5000
Pa: 0.0000 0.0000 0.0000

***

Entry 2:
# IrOsBr

A relaxed IrOsBr crystal (PBE, the Alexandria database).

Output
Formation energy without anion corrections ... 1052 meV/atom
Magnetization ... 0.0 Bohr magnetons per cell
E above lowest polymorph ... 152 meV/atom
Crystal system ... orthorhombic

Unit cell a=7.6374 b=7.3480 c=2.8708 alpha=84.69 beta=73.33 gamma=21.98
Sites, in units of the cell vectors:
Os: 0.6713 0.6713 0.3287
Ir: 0.3219 0.3219 0.6781
Br: 0.0068 0.0068 0.9932

***

Entry 3:
# Tl3ICl2O6

A relaxed Tl3ICl2O6 crystal (PBE, the Alexandria database).

Output
Formation energy without anion corrections ... -329 meV/atom
Magnetization ... 0.0 Bohr magnetons per cell
Crystal system ... monoclinic

Unit cell a=5.4627 b=6.2325 c=7.0017 alpha=116.43 beta=84.83 gamma=90.00
Sites, in units of the cell vectors:
O: 0.6944 0.8394 0.1273
O: 0.2931 0.1306 0.2613
O: 0.7069 0.8694 0.7387
O: 0.3056 0.1606 0.8727
O: 0.6944 0.2879 0.1273
O: 0.3056 0.7121 0.8727
Cl: 0.0796 0.6926 0.3853
Cl: 0.9204 0.3074 0.6147
Tl: 0.0000 0.5000 0.0000
Tl: 0.5000 0.5000 0.5000
Tl: 0.5000 0.0000 0.5000
I: 0.5000 0.0000 0.0000